Compound: TbDy2SbN4
Source: the Alexandria database
Functional: PBE
Structure: relaxed

Space-group type ... P2/m, No. 10
Density ... 9.1 g/cm³
Formation energy without anion corrections ... -1055.6 meV/atom

a = 3.4898 Å, b = 6.0529 Å, c = 6.0613 Å
α = 109.30°, β = 90.00°, γ = 90.00°
Last column: nearest neighbours and their distance in Å.
Atoms (fractional coordinates):
Tb 0.5000 0.5000 0.0000  6 N 2.48
Dy 0.5000 0.0000 0.5000  6 N 2.47
Dy 0.0000 0.5000 0.5000  6 N 2.41
Sb 0.0000 0.0000 0.0000  6 N 2.53-2.54
N 0.5000 0.2620 0.2632  3 Dy 2.41-2.47, 1 Tb 2.48, 2 Sb 2.54
N 0.5000 0.7380 0.7368  3 Dy 2.41-2.47, 1 Tb 2.48, 2 Sb 2.54
N 0.0000 0.2549 0.7431  3 Dy 2.41-2.47, 2 Tb 2.48, 1 Sb 2.53
N 0.0000 0.7451 0.2569  3 Dy 2.41-2.47, 2 Tb 2.48, 1 Sb 2.53